Ba2Ho2O5 | Alexandria | GGA-PBE | relaxed; total DFT energy (no corrections) = -7.26 eV/atom; volume = 17.7 A^3/atom
1.0
6.222 -2.155 0.000
6.222 2.155 0.000
-3.952 0.000 5.930
Ba Ho O
2 2 5
Direct
0.130 0.130 0.479
0.870 0.870 0.521
0.387 0.387 0.085
0.613 0.613 0.915
0.157 0.157 0.885
0.388 0.388 0.776
0.500 0.500 0.500
0.612 0.612 0.224
0.843 0.843 0.115

BaHoO2 | Alexandria | GGA-PBE | relaxed; total DFT energy (no corrections) = -6.76 eV/atom; volume = 17.7 A^3/atom
1.0
3.505 0.000 0.000
-1.753 3.036 0.000
0.000 0.000 20.010
Ba Ho O
3 3 6
Direct
0.000 0.000 0.000
0.333 0.667 0.667
0.667 0.333 0.333
0.000 0.000 0.827
0.333 0.667 0.493
0.667 0.333 0.160
0.000 0.000 0.218
0.000 0.000 0.435
0.333 0.667 0.102
0.333 0.667 0.884
0.667 0.333 0.551
0.667 0.333 0.769

- What is the volume in the second record?
  17.7 A^3/atom

- What is the volume in the first record?
  17.7 A^3/atom

- Which value of total DFT energy (no corrections) does entry 1 give?
  -7.26 eV/atom